No. 1
Here is crystalline Mn3OF5 at its relaxed geometry from the Alexandria database. Energies are from GGA+U.

Structure (CIF):
```
data_Mn3OF5
_cell_length_a 7.065
_cell_length_b 20.355
_cell_length_c 3.245
_cell_angle_alpha 90.00
_cell_angle_beta 90.00
_cell_angle_gamma 90.00
_space_group_name_H-M_alt 'C m m m'
_space_group_IT_number 65
_space_group_name_Hall '-C 2 2'
loop_
_atom_site_label
_atom_site_fract_x
_atom_site_fract_y
_atom_site_fract_z
_atom_site_occupancy
Mn1 0.000 0.000 0.000 1
Mn2 0.000 0.152 0.500 1
Mn3 0.000 0.327 0.000 1
Mn4 0.000 0.500 0.500 1
O1 0.000 0.094 0.000 1
F1 0.000 0.221 0.000 1
F2 0.000 0.433 0.000 1
F3 0.191 0.000 0.500 1
F4 0.196 0.330 0.500 1
```

Summary:
- DOS(E_F): 0.066 states/eV/atom
- ρ: 3.9 g/cm3
- Magnetization: 14.000 μB/f.u.
- Energy above the most stable polymorph in this dataset: 5 meV per atom

***

No. 2
Here is crystalline Mn6O5F7 at its relaxed geometry from the Alexandria database. Energies are from GGA+U.

Structure (CIF):
```
data_Mn6O5F7
_cell_length_a 5.705
_cell_length_b 5.796
_cell_length_c 7.144
_cell_angle_alpha 74.26
_cell_angle_beta 74.08
_cell_angle_gamma 76.13
_space_group_name_H-M_alt 'P 1'
_space_group_IT_number 1
loop_
_space_group_symop_operation_xyz
'x,y,z'
loop_
_atom_site_label
_atom_site_fract_x
_atom_site_fract_y
_atom_site_fract_z
_atom_site_occupancy
Mn1 0.000 0.000 0.000 1
Mn2 0.002 0.955 0.494 1
Mn3 0.324 0.339 0.167 1
Mn4 0.338 0.344 0.653 1
Mn5 0.644 0.670 0.331 1
Mn6 0.680 0.686 0.833 1
O1 0.092 0.086 0.206 1
O2 0.307 0.654 0.487 1
O3 0.566 0.580 0.118 1
O4 0.752 0.762 0.539 1
O5 0.920 0.889 0.791 1
F1 0.006 0.641 0.174 1
F2 0.226 0.186 0.475 1
F3 0.363 0.011 0.831 1
F4 0.439 0.469 0.854 1
F5 0.638 0.042 0.151 1
F6 0.691 0.285 0.503 1
F7 0.985 0.360 0.827 1
```

Summary:
- DOS(E_F): 0.097 states/eV/atom
- ρ: 4.2 g/cm3
- Magnetization: 25.000 μB/f.u.
- Energy above the most stable polymorph in this dataset: 19 meV per atom

***

No. 3
Here is crystalline Mn4O7F at its relaxed geometry from the Alexandria database. Energies are from GGA+U.

Structure (CIF):
```
data_Mn4O7F
_cell_length_a 9.961
_cell_length_b 10.930
_cell_length_c 4.465
_cell_angle_alpha 90.00
_cell_angle_beta 90.12
_cell_angle_gamma 90.00
_space_group_name_H-M_alt 'C 1 2 1'
_space_group_IT_number 5
loop_
_space_group_symop_operation_xyz
'x,y,z'
'-x,y,-z'
'x+1/2,y+1/2,z'
'-x+1/2,y+1/2,-z'
loop_
_atom_site_label
_atom_site_fract_x
_atom_site_fract_y
_atom_site_fract_z
_atom_site_occupancy
Mn1 0.000 0.000 0.000 1
Mn2 0.000 0.247 0.500 1
Mn3 0.000 0.496 0.000 1
Mn4 0.000 0.749 0.500 1
Mn5 0.244 0.640 0.023 1
Mn6 0.244 0.902 0.486 1
O1 0.085 0.878 0.733 1
O2 0.086 0.625 0.771 1
O3 0.088 0.125 0.763 1
O4 0.089 0.376 0.732 1
O5 0.161 0.514 0.242 1
O6 0.163 0.764 0.275 1
O7 0.165 0.019 0.224 1
F1 0.176 0.265 0.240 1
```

Summary:
- DOS(E_F): 0.189 states/eV/atom
- ρ: 4.8 g/cm3
- Magnetization: 13.000 μB/f.u.
- Energy above the most stable polymorph in this dataset: 1 meV per atom

***

No. 4
Here is crystalline Mn2O3F at its relaxed geometry from the Alexandria database. Energies are from GGA+U.

Structure (CIF):
```
data_Mn2O3F
_cell_length_a 9.274
_cell_length_b 6.033
_cell_length_c 4.556
_cell_angle_alpha 90.00
_cell_angle_beta 92.38
_cell_angle_gamma 90.00
_space_group_name_H-M_alt 'C 1 2/m 1'
_space_group_IT_number 12
loop_
_space_group_symop_operation_xyz
'x,y,z'
'-x,-y,-z'
'-x,y,-z'
'x,-y,z'
'x+1/2,y+1/2,z'
'-x+1/2,-y+1/2,-z'
'-x+1/2,y+1/2,-z'
'x+1/2,-y+1/2,z'
loop_
_atom_site_label
_atom_site_fract_x
_atom_site_fract_y
_atom_site_fract_z
_atom_site_occupancy
Mn1 0.000 0.000 0.000 1
Mn2 0.000 0.500 0.000 1
Mn3 0.250 0.250 0.500 1
O1 0.088 0.249 0.207 1
O2 0.164 0.500 0.704 1
F1 0.151 0.000 0.733 1
```

Summary:
- DOS(E_F): 0.127 states/eV/atom
- ρ: 4.6 g/cm3
- Magnetization: 7.000 μB/f.u.
- Energy above the most stable polymorph in this dataset: 38 meV per atom

***

No. 5
Here is crystalline Mn3O4F2 at its relaxed geometry from the Alexandria database. Energies are from GGA+U.

Structure (CIF):
```
data_Mn3O4F2
_cell_length_a 4.646
_cell_length_b 4.646
_cell_length_c 9.184
_cell_angle_alpha 90.00
_cell_angle_beta 90.00
_cell_angle_gamma 90.00
_space_group_name_H-M_alt 'P 42/m n m'
_space_group_IT_number 136
_space_group_name_Hall '-P 4n 2n'
loop_
_atom_site_label
_atom_site_fract_x
_atom_site_fract_y
_atom_site_fract_z
_atom_site_occupancy
Mn1 0.000 0.000 0.000 1
Mn2 0.000 0.000 0.318 1
O1 0.195 0.195 0.165 1
F1 0.182 0.182 0.500 1
```

Summary:
- DOS(E_F): 0.119 states/eV/atom
- ρ: 4.5 g/cm3
- Magnetization: 11.000 μB/f.u.
- Energy above the most stable polymorph in this dataset: 35 meV per atom

***

No. 6
Here is crystalline Mn3O4F2 at its relaxed geometry from the Alexandria database. Energies are from GGA+U.

Structure (CIF):
```
data_Mn3O4F2
_cell_length_a 4.671
_cell_length_b 5.566
_cell_length_c 7.754
_cell_angle_alpha 84.03
_cell_angle_beta 85.29
_cell_angle_gamma 85.39
_space_group_name_H-M_alt 'P 1'
_space_group_IT_number 1
loop_
_space_group_symop_operation_xyz
'x,y,z'
loop_
_atom_site_label
_atom_site_fract_x
_atom_site_fract_y
_atom_site_fract_z
_atom_site_occupancy
Mn1 0.000 0.000 0.000 1
Mn2 0.001 0.675 0.335 1
Mn3 0.463 0.151 0.321 1
Mn4 0.469 0.821 0.652 1
Mn5 0.483 0.481 0.002 1
Mn6 0.978 0.320 0.660 1
O1 0.190 0.701 0.105 1
O2 0.194 0.034 0.764 1
O3 0.202 0.378 0.436 1
O4 0.266 0.880 0.427 1
O5 0.296 0.206 0.111 1
O6 0.770 0.941 0.223 1
O7 0.774 0.616 0.555 1
O8 0.777 0.274 0.890 1
F1 0.272 0.540 0.764 1
F2 0.672 0.108 0.544 1
F3 0.675 0.765 0.886 1
F4 0.704 0.431 0.242 1
```

Summary:
- DOS(E_F): 0.088 states/eV/atom
- ρ: 4.4 g/cm3
- Magnetization: 11.000 μB/f.u.
- Energy above the most stable polymorph in this dataset: 13 meV per atom

***

No. 7
Here is crystalline Mn2O3F at its relaxed geometry from the Alexandria database. Energies are from GGA+U.

Structure (CIF):
```
data_Mn2O3F
_cell_length_a 6.328
_cell_length_b 6.625
_cell_length_c 12.125
_cell_angle_alpha 90.00
_cell_angle_beta 90.00
_cell_angle_gamma 90.00
_space_group_name_H-M_alt 'C m c m'
_space_group_IT_number 63
_space_group_name_Hall '-C 2c 2'
loop_
_atom_site_label
_atom_site_fract_x
_atom_site_fract_y
_atom_site_fract_z
_atom_site_occupancy
Mn1 0.000 0.000 0.000 1
Mn2 0.000 0.009 0.250 1
Mn3 0.000 0.477 0.125 1
O1 0.000 0.188 0.124 1
O2 0.191 0.500 0.000 1
O3 0.195 0.482 0.250 1
F1 0.000 0.215 0.631 1
```

Summary:
- DOS(E_F): 0.264 states/eV/atom
- ρ: 4.6 g/cm3
- Magnetization: 7.000 μB/f.u.
- Energy above the most stable polymorph in this dataset: 11 meV per atom

***

No. 8
Here is crystalline Mn6O7F5 at its relaxed geometry from the Alexandria database. Energies are from GGA+U.

Structure (CIF):
```
data_Mn6O7F5
_cell_length_a 9.072
_cell_length_b 6.510
_cell_length_c 7.338
_cell_angle_alpha 90.00
_cell_angle_beta 111.30
_cell_angle_gamma 90.00
_space_group_name_H-M_alt 'C 1 m 1'
_space_group_IT_number 8
loop_
_space_group_symop_operation_xyz
'x,y,z'
'x,-y,z'
'x+1/2,y+1/2,z'
'x+1/2,-y+1/2,z'
loop_
_atom_site_label
_atom_site_fract_x
_atom_site_fract_y
_atom_site_fract_z
_atom_site_occupancy
Mn1 0.000 0.000 0.000 1
Mn2 0.010 0.000 0.493 1
Mn3 0.150 0.500 0.179 1
Mn4 0.203 0.500 0.668 1
Mn5 0.318 0.000 0.312 1
Mn6 0.341 0.000 0.819 1
O1 0.154 0.198 0.161 1
O2 0.234 0.000 0.526 1
O3 0.289 0.500 0.473 1
O4 0.344 0.305 0.829 1
O5 0.423 0.000 0.113 1
F1 0.014 0.315 0.493 1
F2 0.081 0.500 0.851 1
F3 0.103 0.000 0.785 1
F4 0.383 0.500 0.199 1
```

Summary:
- DOS(E_F): 0.156 states/eV/atom
- ρ: 4.4 g/cm3
- Magnetization: 23.000 μB/f.u.
- Energy above the most stable polymorph in this dataset: 28 meV per atom

***

> Which value of magnetization does entry 8 give?

23.000 μB/f.u.

***

> Look up the ρ of the first one.

3.9 g/cm3